Version a
Density functional theory data (SCAN) for a crystal of Ag2SeBr relaxed with PBEsol.

Computed properties:
space-group type: Cm (8)
crystal system: monoclinic
total magnetic moment: 0.00 μB per formula unit

Unit cell a=3.5801 b=4.3410 c=6.5515 alpha=90.25 beta=90.00 gamma=114.35
Closest atoms and distances in Å follow each position.
Atoms (fractional coordinates):
Se (0.7550, 0.5100, 0.0305)  5 Ag 2.59-2.62
Br (0.5007, 0.0014, 0.5251)  5 Ag 2.76-2.87
Ag (0.0541, 0.1082, 0.1937)  3 Se 2.59-2.62, 2 Br 2.85
Ag (0.1902, 0.3804, 0.7507)  2 Se 2.61, 3 Br 2.76-2.87

---

Version b
Density functional theory data (SCAN) for a crystal of Ag2SeBr relaxed with PBEsol.

Computed properties:
space-group type: F-43m (216)
crystal system: cubic
total magnetic moment: 0.00 μB per formula unit

Unit cell a=4.8274 b=4.8274 c=4.8274 alpha=60.00 beta=60.00 gamma=60.00
Closest atoms and distances in Å follow each position.
Atoms (fractional coordinates):
Ag (0.0000, 0.0000, 0.0000)  4 Se 2.96, 4 Ag 2.96
Ag (0.2500, 0.2500, 0.2500)  4 Br 2.96, 4 Ag 2.96
Br (0.5000, 0.5000, 0.5000)  4 Se 2.96, 4 Ag 2.96
Se (0.7500, 0.7500, 0.7500)  4 Br 2.96, 4 Ag 2.96

---

Version c
Density functional theory data (SCAN) for a crystal of Ag2SeBr relaxed with PBEsol.

Computed properties:
space-group type: C2/m (12)
crystal system: monoclinic
total magnetic moment: 0.00 μB per formula unit

Unit cell a=3.8553 b=3.8476 c=6.9679 alpha=73.93 beta=73.94 gamma=59.93
Closest atoms and distances in Å follow each position.
Atoms (fractional coordinates):
Se (0.5000, 0.0000, 0.0000)  6 Ag 2.68
Br (0.0000, 0.5000, 0.5000)  6 Ag 2.86
Ag (0.2422, 0.7428, 0.7728)  3 Se 2.68, 3 Br 2.86
Ag (0.7578, 0.2572, 0.2272)  3 Se 2.68, 3 Br 2.86

---

Energy comparison, zero being the most stable, in meV/atom: version a 30; version b 570; version c 0.

---

Version a
Density functional theory data (SCAN) for a crystal of Si2AgBr relaxed with PBEsol.

Computed properties:
space-group type: Imm2 (44)
crystal system: orthorhombic
total magnetic moment: 0.00 μB per formula unit

Unit cell a=3.5531 b=3.6876 c=6.8034 alpha=105.72 beta=105.14 gamma=90.00
Closest atoms and distances in Å follow each position.
Atoms (fractional coordinates):
Ag (0.5125, 0.5125, 0.0250)  6 Si 2.67-2.81, 2 Br 2.90
Br (0.1943, 0.6943, 0.3885)  2 Ag 2.90, 4 Si 3.15
Si (0.9534, 0.9534, 0.9068)  2 Si 2.33
Si (0.8399, 0.3399, 0.6797)  2 Si 2.33

---

Version b
Density functional theory data (SCAN) for a crystal of Si2AgBr relaxed with PBEsol.

Computed properties:
space-group type: P4/mmm (123)
crystal system: tetragonal
total magnetic moment: 0.00 μB per formula unit

Unit cell a=2.9231 b=4.9971 c=4.9971 alpha=90.00 beta=90.00 gamma=90.00
Closest atoms and distances in Å follow each position.
Atoms (fractional coordinates):
Ag (0.5000, 0.5000, 0.5000)  8 Si 2.89, 2 Ag 2.92
Br (0.5000, 0.0000, 0.0000)  8 Si 2.89, 2 Br 2.92
Si (0.0000, 0.0000, 0.5000)  4 Ag 2.89, 4 Br 2.89, 2 Si 2.92
Si (0.0000, 0.5000, 0.0000)  4 Br 2.89, 4 Ag 2.89, 2 Si 2.92

---

Energy comparison, zero being the most stable, in meV/atom: version a 0; version b 425.

---

Version a
Density functional theory data (SCAN) for a crystal of Si2AgBr relaxed with PBEsol.

Computed properties:
space-group type: C2/m (12)
crystal system: monoclinic
total magnetic moment: 0.00 μB per formula unit

Unit cell a=3.7679 b=3.7349 c=6.0475 alpha=105.06 beta=108.15 gamma=90.00
Closest atoms and distances in Å follow each position.
Atoms (fractional coordinates):
Ag (0.0000, 0.0000, 0.0000)  2 Si 2.63, 4 Br 2.65
Br (0.5000, 0.5000, 0.0000)  4 Ag 2.65, 2 Si 2.91
Si (0.7626, 0.7886, 0.5251)  4 Si 2.52-2.82, 1 Ag 2.63
Si (0.2374, 0.2114, 0.4749)  4 Si 2.52-2.82, 1 Ag 2.63

---

Version b
Density functional theory data (SCAN) for a crystal of Si2AgBr relaxed with PBEsol.

Computed properties:
space-group type: Cmmm (65)
crystal system: orthorhombic
total magnetic moment: 0.00 μB per formula unit

Unit cell a=3.1350 b=3.1350 c=8.5490 alpha=90.00 beta=90.00 gamma=118.17
Closest atoms and distances in Å follow each position.
Atoms (fractional coordinates):
Ag (0.5000, 0.5000, 0.5000)  4 Si 2.63
Br (0.5000, 0.5000, 0.0000)  4 Si 2.73
Si (0.0000, 0.0000, 0.2574)  2 Ag 2.63, 2 Br 2.73
Si (0.0000, 0.0000, 0.7426)  2 Ag 2.63, 2 Br 2.73

---

Energy comparison, zero being the most stable, in meV/atom: version a 0; version b 219.

---

Version a
Density functional theory data (SCAN) for a crystal of SiAg2Br relaxed with PBEsol.

Computed properties:
space-group type: Imm2 (44)
crystal system: orthorhombic
total magnetic moment: 0.00 μB per formula unit

Unit cell a=3.2682 b=4.0032 c=6.7245 alpha=107.32 beta=104.06 gamma=90.00
Closest atoms and distances in Å follow each position.
Atoms (fractional coordinates):
Ag (0.9310, 0.9310, 0.8620)  2 Si 2.67, 2 Ag 2.87, 4 Br 2.93
Ag (0.7651, 0.2651, 0.5301)  4 Si 2.58, 2 Ag 2.87
Br (0.5428, 0.5428, 0.0857)  4 Ag 2.93, 2 Si 3.16, 2 Br 3.27
Si (0.2611, 0.7611, 0.5222)  6 Ag 2.58-2.67

---

Version b
Density functional theory data (SCAN) for a crystal of SiAg2Br relaxed with PBEsol.

Computed properties:
space-group type: Cmmm (65)
crystal system: orthorhombic
total magnetic moment: 0.00 μB per formula unit

Unit cell a=3.2770 b=4.9249 c=4.9249 alpha=109.38 beta=90.00 gamma=90.00
Closest atoms and distances in Å follow each position.
Atoms (fractional coordinates):
Ag (0.0000, 0.5000, 0.0000)  2 Ag 2.85, 4 Si 2.96, 4 Br 2.96
Ag (0.0000, 0.0000, 0.5000)  2 Ag 2.85, 4 Br 2.96, 4 Si 2.96
Br (0.5000, 0.0000, 0.0000)  2 Si 2.85, 8 Ag 2.96
Si (0.5000, 0.5000, 0.5000)  2 Br 2.85, 8 Ag 2.96

---

Energy comparison, zero being the most stable, in meV/atom: version a 0; version b 199.